(1)
This record from OQMD describes a relaxed Al2AgAuO4 crystal. The functional is PBE-GGA.

## Properties
Final energy in eV/atom: -6.09

a b c (Å): 2.8924 2.8924 12.2576
angles (deg): 90.00 90.00 120.00
Last column: nearest neighbours and their distance in Å.
Atoms (fractional coordinates):
1 Al 0.0000 0.0000 0.2501  6 O 1.92
2 Al 0.0000 0.0000 0.7499  6 O 1.92
3 Ag 0.6667 0.3333 0.0000  2 O 2.11
4 Au 0.3333 0.6667 0.5000  2 O 2.12
5 O 0.3333 0.6667 0.3270  3 Al 1.92, 1 Au 2.12
6 O 0.3333 0.6667 0.6730  3 Al 1.92, 1 Au 2.12
7 O 0.6667 0.3333 0.1723  3 Al 1.92, 1 Ag 2.11
8 O 0.6667 0.3333 0.8277  3 Al 1.92, 1 Ag 2.11

(2)
This record from OQMD describes a relaxed Al2AgTe4Au crystal. The functional is PBE-GGA.

## Properties
Final energy in eV/atom: -3.60

a b c (Å): 7.6186 7.6186 7.6186
angles (deg): 130.66 130.66 72.36
Last column: nearest neighbours and their distance in Å.
Atoms (fractional coordinates):
1 Al 0.0000 0.0000 0.0000  4 Te 2.66
2 Al 0.7500 0.2500 0.5000  4 Te 2.67
3 Ag 0.5000 0.5000 0.0000  4 Te 2.80
4 Te 0.1077 0.6261 0.9854  2 Al 2.66-2.67, 1 Au 2.77, 1 Ag 2.80
5 Te 0.3739 0.3594 0.4816  2 Al 2.66-2.67, 1 Au 2.77, 1 Ag 2.80
6 Te 0.6407 0.1223 0.0146  2 Al 2.66-2.67, 1 Au 2.77, 1 Ag 2.80
7 Te 0.8777 0.8923 0.5184  2 Al 2.66-2.67, 1 Au 2.77, 1 Ag 2.80
8 Au 0.2500 0.7500 0.5000  4 Te 2.77

(3)
This record from OQMD describes a relaxed Tm3Al2ZnAgAu2 crystal. The functional is PBE-GGA.

## Properties
Final energy in eV/atom: -4.14

a b c (Å): 4.0667 7.2262 7.2262
angles (deg): 119.39 90.00 90.00
Last column: nearest neighbours and their distance in Å.
Atoms (fractional coordinates):
1 Tm 0.0000 0.0000 0.0000  4 Au 2.99, 1 Ag 3.03, 2 Zn 3.15, 4 Al 3.34
2 Tm 0.0000 0.1610 0.5730  4 Au 2.96-2.99, 1 Ag 3.02, 2 Al 3.20, 2 Zn 3.29
3 Tm 0.0000 0.5730 0.1610  4 Au 2.96-2.99, 1 Ag 3.02, 2 Al 3.20, 2 Zn 3.29
4 Al 0.5000 0.5812 0.8226  2 Ag 2.67, 2 Au 2.77-2.78
5 Al 0.5000 0.8226 0.5812  2 Ag 2.67, 2 Au 2.77-2.78
6 Zn 0.5000 0.3300 0.3300  2 Ag 2.75, 2 Au 2.83
7 Ag 0.0000 0.5841 0.5841  4 Al 2.67, 2 Zn 2.75
8 Au 0.5000 0.2436 0.9030  2 Al 2.77-2.78, 1 Zn 2.83, 6 Tm 2.96-2.99
9 Au 0.5000 0.9030 0.2436  2 Al 2.77-2.78, 1 Zn 2.83, 6 Tm 2.96-2.99